This record from Alexandria via LeMat-Bulk describes a relaxed structure of MnSeO4. The functional is GGA+U.

- Total energy: -5.96 eV per atom
- Density of states at the Fermi level: 6.0 states/eV per cell
- Symmetry: P2_1/c (14)

Geometry as POSCAR:
```
MnSeO4
1.0
4.903 0.000 0.000
0.000 12.508 0.000
-4.884 0.000 5.851
Mn Se O
4 4 16
direct
0.010 0.227 0.185
0.010 0.273 0.685
0.990 0.727 0.315
0.990 0.773 0.815
0.449 0.101 0.676
0.449 0.399 0.176
0.551 0.601 0.824
0.551 0.899 0.324
0.085 0.186 0.471
0.085 0.314 0.971
0.209 0.109 0.193
0.209 0.391 0.693
0.223 0.637 0.831
0.223 0.863 0.331
0.483 0.678 0.604
0.483 0.822 0.104
0.517 0.178 0.896
0.517 0.322 0.396
0.777 0.137 0.669
0.777 0.363 0.169
0.791 0.609 0.307
0.791 0.891 0.807
0.915 0.686 0.029
0.915 0.814 0.529
```